(1)
# CsGaP3HO10

An optimized crystal structure of CsGaP3HO10 (GGA-PBEsol, Alexandria).

Results
As for the uncorrected energy: -6.9676 eV/atom. As for the total magnetization: 0.00 μB per cell.

```
data_CsGaP3HO10
_cell_length_a 8.840
_cell_length_b 5.006
_cell_length_c 11.872
_cell_angle_alpha 90.00
_cell_angle_beta 117.71
_cell_angle_gamma 90.00
_symmetry_space_group_name_H-M 'P 1'
_symmetry_Int_Tables_number 1
loop_
_symmetry_equiv_pos_as_xyz
'x,y,z'
loop_
_atom_site_label
_atom_site_type_symbol
_atom_site_fract_x
_atom_site_fract_y
_atom_site_fract_z
Cs1 Cs 0.000 0.004 0.250
Cs2 Cs 0.000 0.996 0.750
Ga1 Ga 0.500 0.000 0.000
Ga2 Ga 0.500 0.000 0.500
P1 P 0.276 0.499 0.004
P2 P 0.276 0.501 0.504
P3 P 0.500 0.239 0.250
P4 P 0.500 0.761 0.750
P5 P 0.724 0.499 0.496
P6 P 0.724 0.501 0.996
H1 H 0.000 0.500 0.000
H2 H 0.000 0.500 0.500
O1 O 0.084 0.446 0.948
O2 O 0.084 0.554 0.448
O3 O 0.308 0.205 0.494
O4 O 0.308 0.795 0.994
O5 O 0.353 0.313 0.943
O6 O 0.353 0.687 0.443
O7 O 0.355 0.434 0.155
O8 O 0.355 0.566 0.655
O9 O 0.421 0.085 0.319
O10 O 0.421 0.915 0.819
O11 O 0.579 0.085 0.181
O12 O 0.579 0.915 0.681
O13 O 0.645 0.434 0.345
O14 O 0.645 0.566 0.845
O15 O 0.647 0.313 0.557
O16 O 0.647 0.687 0.057
O17 O 0.692 0.205 0.006
O18 O 0.692 0.795 0.506
O19 O 0.916 0.446 0.552
O20 O 0.916 0.554 0.052
```

(2)
# Al7Ag

An optimized crystal structure of Al7Ag (GGA-PBEsol, Alexandria).

Results
For the energy of formation, the calculation gives 0.002 eV/atom. The energy relative to the lowest polymorph listed for this composition comes out at 21 meV/atom. As for the total magnetization: 0.00 μB per cell.

```
data_Al7Ag
_cell_length_a 2.819
_cell_length_b 3.988
_cell_length_c 11.575
_cell_angle_alpha 90.00
_cell_angle_beta 90.00
_cell_angle_gamma 90.00
_symmetry_space_group_name_H-M 'P 1'
_symmetry_Int_Tables_number 1
loop_
_symmetry_equiv_pos_as_xyz
'x,y,z'
loop_
_atom_site_label
_atom_site_type_symbol
_atom_site_fract_x
_atom_site_fract_y
_atom_site_fract_z
Al1 Al 0.000 0.000 0.000
Al2 Al 0.000 0.000 0.249
Al3 Al 0.000 0.000 0.751
Al4 Al 0.500 0.500 0.126
Al5 Al 0.500 0.500 0.374
Al6 Al 0.500 0.500 0.626
Al7 Al 0.500 0.500 0.874
Ag1 Ag 0.000 0.000 0.500
```

(3)
# BaLi3Os

An optimized crystal structure of BaLi3Os (GGA-PBEsol, Alexandria).

Results
For the energy of formation, the calculation gives 0.691 eV/atom. As for the total magnetization: 0.00 μB per cell.

```
data_BaLi3Os
_cell_length_a 4.836
_cell_length_b 4.836
_cell_length_c 4.836
_cell_angle_alpha 90.00
_cell_angle_beta 90.00
_cell_angle_gamma 90.00
_symmetry_space_group_name_H-M 'P 1'
_symmetry_Int_Tables_number 1
loop_
_symmetry_equiv_pos_as_xyz
'x,y,z'
loop_
_atom_site_label
_atom_site_type_symbol
_atom_site_fract_x
_atom_site_fract_y
_atom_site_fract_z
Ba1 Ba 0.000 0.000 0.000
Li1 Li 0.000 0.500 0.500
Li2 Li 0.500 0.000 0.500
Li3 Li 0.500 0.500 0.000
Os1 Os 0.500 0.500 0.500
```

(4)
# AgHg2Pt

An optimized crystal structure of AgHg2Pt (GGA-PBEsol, Alexandria).

Results
For the energy of formation, the calculation gives 0.020 eV/atom. The energy relative to the lowest polymorph listed for this composition comes out at 0 meV/atom. As for the total magnetization: 0.00 μB per cell.

```
data_AgHg2Pt
_cell_length_a 2.940
_cell_length_b 2.940
_cell_length_c 8.264
_cell_angle_alpha 90.00
_cell_angle_beta 90.00
_cell_angle_gamma 90.76
_symmetry_space_group_name_H-M 'P 1'
_symmetry_Int_Tables_number 1
loop_
_symmetry_equiv_pos_as_xyz
'x,y,z'
loop_
_atom_site_label
_atom_site_type_symbol
_atom_site_fract_x
_atom_site_fract_y
_atom_site_fract_z
Ag1 Ag 0.000 0.000 0.000
Hg1 Hg 0.500 0.500 0.258
Hg2 Hg 0.500 0.500 0.742
Pt1 Pt 0.000 0.000 0.500
```

(5)
# KSbPt2

An optimized crystal structure of KSbPt2 (GGA-PBEsol, Alexandria).

Results
The energy relative to the lowest polymorph listed for this composition comes out at 0 meV/atom. As for the total magnetization: 0.00 μB per cell.

```
data_KSbPt2
_cell_length_a 6.372
_cell_length_b 6.372
_cell_length_c 6.372
_cell_angle_alpha 41.77
_cell_angle_beta 41.77
_cell_angle_gamma 41.77
_symmetry_space_group_name_H-M 'P 1'
_symmetry_Int_Tables_number 1
loop_
_symmetry_equiv_pos_as_xyz
'x,y,z'
loop_
_atom_site_label
_atom_site_type_symbol
_atom_site_fract_x
_atom_site_fract_y
_atom_site_fract_z
K1 K 0.000 0.000 0.000
Sb1 Sb 0.500 0.500 0.500
Pt1 Pt 0.190 0.190 0.190
Pt2 Pt 0.810 0.810 0.810
```

(6)
# AlAg3

An optimized crystal structure of AlAg3 (GGA-PBEsol, Alexandria).

Results
For the energy of formation, the calculation gives -0.062 eV/atom. As for the total magnetization: 0.00 μB per cell.

```
data_AlAg3
_cell_length_a 4.793
_cell_length_b 2.947
_cell_length_c 9.484
_cell_angle_alpha 90.00
_cell_angle_beta 104.35
_cell_angle_gamma 90.00
_symmetry_space_group_name_H-M 'P 1'
_symmetry_Int_Tables_number 1
loop_
_symmetry_equiv_pos_as_xyz
'x,y,z'
loop_
_atom_site_label
_atom_site_type_symbol
_atom_site_fract_x
_atom_site_fract_y
_atom_site_fract_z
Al1 Al 0.141 0.000 0.362
Al2 Al 0.859 0.000 0.638
Ag1 Ag 0.115 0.500 0.872
Ag2 Ag 0.338 0.500 0.609
Ag3 Ag 0.389 0.000 0.130
Ag4 Ag 0.611 0.000 0.870
Ag5 Ag 0.662 0.500 0.391
Ag6 Ag 0.885 0.500 0.128
```

(7)
# TlPtAuN2

An optimized crystal structure of TlPtAuN2 (GGA-PBEsol, Alexandria).

Results
As for the uncorrected energy: -3.8315 eV/atom. As for the total magnetization: 2.91 μB per cell.

```
data_TlPtAuN2
_cell_length_a 4.085
_cell_length_b 4.085
_cell_length_c 5.506
_cell_angle_alpha 90.00
_cell_angle_beta 90.00
_cell_angle_gamma 90.00
_symmetry_space_group_name_H-M 'P 1'
_symmetry_Int_Tables_number 1
loop_
_symmetry_equiv_pos_as_xyz
'x,y,z'
loop_
_atom_site_label
_atom_site_type_symbol
_atom_site_fract_x
_atom_site_fract_y
_atom_site_fract_z
Tl1 Tl 0.000 0.000 0.000
Pt1 Pt 0.500 0.500 0.500
Au1 Au 0.000 0.000 0.500
N1 N 0.000 0.500 0.000
N2 N 0.500 0.000 0.000
```

(8)
# ZrTaCr2Cu

An optimized crystal structure of ZrTaCr2Cu (GGA-PBEsol, Alexandria).

Results
For the energy of formation, the calculation gives 1.807 eV/atom. As for the total magnetization: 2.02 μB per cell.

```
data_ZrTaCr2Cu
_cell_length_a 4.355
_cell_length_b 4.355
_cell_length_c 4.587
_cell_angle_alpha 90.00
_cell_angle_beta 90.00
_cell_angle_gamma 90.00
_symmetry_space_group_name_H-M 'P 1'
_symmetry_Int_Tables_number 1
loop_
_symmetry_equiv_pos_as_xyz
'x,y,z'
loop_
_atom_site_label
_atom_site_type_symbol
_atom_site_fract_x
_atom_site_fract_y
_atom_site_fract_z
Zr1 Zr 0.000 0.000 0.000
Ta1 Ta 0.500 0.500 0.500
Cr1 Cr 0.000 0.500 0.000
Cr2 Cr 0.500 0.000 0.000
Cu1 Cu 0.000 0.000 0.500
```

(9)
# CuRh

An optimized crystal structure of CuRh (GGA-PBEsol, Alexandria).

Results
For the energy of formation, the calculation gives 0.089 eV/atom. As for the total magnetization: 0.00 μB per cell.

```
data_CuRh
_cell_length_a 4.517
_cell_length_b 4.517
_cell_length_c 4.517
_cell_angle_alpha 131.84
_cell_angle_beta 131.84
_cell_angle_gamma 70.47
_symmetry_space_group_name_H-M 'P 1'
_symmetry_Int_Tables_number 1
loop_
_symmetry_equiv_pos_as_xyz
'x,y,z'
loop_
_atom_site_label
_atom_site_type_symbol
_atom_site_fract_x
_atom_site_fract_y
_atom_site_fract_z
Cu1 Cu 0.375 0.625 0.750
Cu2 Cu 0.625 0.375 0.250
Rh1 Rh 0.125 0.875 0.250
Rh2 Rh 0.875 0.125 0.750
```

(10)
# Fe2CuSiPt

An optimized crystal structure of Fe2CuSiPt (GGA-PBEsol, Alexandria).

Results
As for the uncorrected energy: -5.8630 eV/atom. As for the total magnetization: 6.31 μB per cell.

```
data_Fe2CuSiPt
_cell_length_a 4.219
_cell_length_b 4.219
_cell_length_c 4.556
_cell_angle_alpha 90.00
_cell_angle_beta 90.00
_cell_angle_gamma 90.00
_symmetry_space_group_name_H-M 'P 1'
_symmetry_Int_Tables_number 1
loop_
_symmetry_equiv_pos_as_xyz
'x,y,z'
loop_
_atom_site_label
_atom_site_type_symbol
_atom_site_fract_x
_atom_site_fract_y
_atom_site_fract_z
Fe1 Fe 0.000 0.500 0.000
Fe2 Fe 0.500 0.000 0.000
Cu1 Cu 0.000 0.000 0.000
Si1 Si 0.500 0.500 0.500
Pt1 Pt 0.000 0.000 0.500
```